Computed, not measured: TbTm4Ag after structural relaxation at the GGA-PBE level of DFT.

Its size of the total moment is 0.00 μB/cell. As for the density of states at the Fermi level: 17.46 states/eV per cell. The total energy comes out at -4.179 eV/atom. Its calculated formation energy is 49 meV per atom.

Structure (POSCAR):
```
TbTm4Ag
1.0
-2.544 4.490 -1.426
1.093 -1.325 -6.120
-7.659 -7.455 0.246
Tm Tb Ag
8 2 2
Direct
0.676 0.576 0.352
0.934 0.211 0.868
0.742 0.087 0.484
0.258 0.587 0.516
0.465 0.877 0.930
0.324 0.076 0.648
0.535 0.377 0.070
0.066 0.711 0.132
0.136 0.216 0.271
0.864 0.716 0.729
0.602 0.967 0.204
0.398 0.467 0.796
```